Tm3TlAu2 after structural relaxation. Source: the Alexandria database, functional PBE.

The total energy is -4.426 eV per atom.

The space group is P4/mmm (No. 123) and the conventional cell measures 3.565, 3.565 and 11.237 Å, with angles of 90.00, 90.00 and 90.00 degrees. The inequivalent atoms are Tm at (0.000, 0.000, 0.000), Tm at (0.000, 0.000, 0.313), Tl at (0.500, 0.500, 0.500) and Au at (0.500, 0.500, 0.162).

***

MnV4Ni2 after structural relaxation. Source: the Alexandria database, functional PBE.

The total energy is -7.470 eV per atom.

The space group is I4/mmm (No. 139) and the conventional cell measures 4.191, 4.191 and 11.814 Å, with angles of 90.00, 90.00 and 90.00 degrees. The inequivalent atoms are Mn at (0.000, 0.000, 0.000), V at (0.000, 0.000, 0.192), V at (0.000, 0.500, 0.000) and Ni at (0.000, 0.000, 0.386).

***

CaTl2Ir after structural relaxation. Source: the Alexandria database, functional PBE.

The total energy is -3.681 eV per atom.

The space group is I-42d (No. 122) and the conventional cell measures 4.417, 4.417 and 20.766 Å, with angles of 90.00, 90.00 and 90.00 degrees. The inequivalent atoms are Ca at (0.000, 0.000, 0.000), Tl at (0.224, 0.250, 0.625) and Ir at (0.000, 0.000, 0.500).

***

Ni2RhW after structural relaxation. Source: the Alexandria database, functional PBE.

The total energy is -7.957 eV per atom.

The space group is Cmmm (No. 65) and the conventional cell measures 5.212, 7.398 and 2.702 Å, with angles of 90.00, 90.00 and 90.00 degrees. The inequivalent atoms are Ni at (0.250, 0.250, 0.000), Rh at (0.000, 0.000, 0.500) and W at (0.000, 0.500, 0.500).

***

KCr2As after structural relaxation. Source: the Alexandria database, functional PBE.

The total energy is -5.591 eV per atom.

The space group is Immm (No. 71) and the conventional cell measures 3.468, 5.788 and 10.199 Å, with angles of 90.00, 90.00 and 90.00 degrees. The inequivalent atoms are K at (0.000, 0.000, 0.000), Cr at (0.000, 0.500, 0.176) and As at (0.000, 0.000, 0.500).

***

La4Zn2Tc after structural relaxation. Source: the Alexandria database, functional PBE.

The total energy is -4.801 eV per atom.

The space group is P2_1/m (No. 11) and the conventional cell measures 7.248, 6.856 and 8.671 Å, with angles of 90.00, 113.46 and 90.00 degrees. The inequivalent atoms are La at (0.152, 0.015, 0.277), La at (0.295, 0.750, 0.665), La at (0.316, 0.250, 0.902), Zn at (0.220, 0.750, 0.010), Zn at (0.457, 0.250, 0.604) and Tc at (0.078, 0.250, 0.586).

***

Ac2Pm2Hg3 after structural relaxation. Source: the Alexandria database, functional PBE.

The total energy is -2.966 eV per atom.

The space group is R-3m (No. 166, hexagonal axes) and the conventional cell measures 5.5869, 5.5869 and 26.0131 Å, with angles of 90.00, 90.00 and 120.00 degrees. The inequivalent atoms are Ac at (0.0000, 0.0000, 0.1175), Pm at (0.0000, 0.0000, 0.3726), Hg at (0.0000, 0.0000, 0.2539) and Hg at (0.0000, 0.0000, 0.5000).

***

Mg9CdSn2 after structural relaxation. Source: the Alexandria database, functional PBE.

The total energy is -2.047 eV per atom.

The space group is P4/mmm (No. 123) and the conventional cell measures 4.474, 4.474 and 13.475 Å, with angles of 90.00, 90.00 and 90.00 degrees. The inequivalent atoms are Mg at (0.000, 0.000, 0.000), Mg at (0.000, 0.000, 0.333), Mg at (0.000, 0.500, 0.165), Mg at (0.000, 0.500, 0.500), Cd at (0.500, 0.500, 0.000) and Sn at (0.500, 0.500, 0.332).

***

no.,DOS at the Fermi energy (states/eV/f.u.),M_tot (μB per formula unit)
1,2.1,0.0
2,8.8,0.0
3,3.0,0.0
4,3.5,0.0
5,2.5,8.3
6,6.7,0.0
7,8.9,0.8
8,4.1,0.0